VASP calculation (PBE) on a relaxed structure of K14Cd2Te9.

## Properties
- N(E_F): 0.00 states/eV/cell
- Total energy: -2.77 eV/atom
- Space group: P-3
- Spin magnetization: 0.00 μB/f.u.
- E_form (uncorrected): -21.87 kcal/mol of atoms

POSCAR file:
```
K14Cd2Te9
1.0
9.7942 0.0000 0.0000
-4.8971 8.4820 0.0000
0.0000 0.0000 13.7407
K Cd Te
14 2 9
Direct
0.0000 0.0000 0.2479
0.0000 0.0000 0.7521
0.0259 0.6714 0.4082
0.0644 0.3789 0.0950
0.3145 0.9356 0.0950
0.3286 0.3545 0.4082
0.3545 0.0259 0.5918
0.3789 0.3145 0.9050
0.6211 0.6855 0.0950
0.6455 0.9741 0.4082
0.6714 0.6455 0.5918
0.6855 0.0644 0.9050
0.9356 0.6211 0.9050
0.9741 0.3286 0.5918
0.3333 0.6667 0.7626
0.6667 0.3333 0.2374
0.0000 0.0000 0.5000
0.0664 0.3679 0.8364
0.3015 0.9336 0.8364
0.3333 0.6667 0.5466
0.3679 0.3015 0.1636
0.6321 0.6985 0.8364
0.6667 0.3333 0.4534
0.6985 0.0664 0.1636
0.9336 0.6321 0.1636
```

VASP calculation (PBE) on a relaxed structure of DyURuRh.

## Properties
- N(E_F): 8.10 states/eV/cell
- Total energy: -8.52 eV/atom
- Energy relative to the elements: -386 meV/atom
- Space group: F-43m
- Spin magnetization: 2.01 μB/f.u.

POSCAR file:
```
DyURuRh
1.0
0.0000 3.4053 3.4053
3.4053 0.0000 3.4053
3.4053 3.4053 0.0000
Dy U Ru Rh
1 1 1 1
Direct
0.0000 0.0000 0.0000
0.5000 0.5000 0.5000
0.2500 0.2500 0.2500
0.7500 0.7500 0.7500
```

VASP calculation (PBE) on a relaxed structure of BaLa2Ti.

## Properties
- N(E_F): 6.83 states/eV/cell
- Energy above the most stable polymorph in this dataset: 0 meV per atom
- Total energy: -4.45 eV/atom
- Energy relative to the elements: 473 meV/atom
- Space group: Fm-3m
- Spin magnetization: 2.61 μB/f.u.

POSCAR file:
```
BaLa2Ti
1.0
0.0000 4.1047 4.1047
4.1047 0.0000 4.1047
4.1047 4.1047 0.0000
Ba La Ti
1 2 1
Direct
0.0000 0.0000 0.0000
0.2500 0.2500 0.2500
0.7500 0.7500 0.7500
0.5000 0.5000 0.5000
```

VASP calculation (PBE) on a relaxed structure of Ho3Tm2Ag2.

## Properties
- N(E_F): 8.24 states/eV/cell
- Energy above the most stable polymorph in this dataset: 0 meV per atom
- Total energy: -4.16 eV/atom
- Energy relative to the elements: -108 meV/atom
- Space group: C2/m
- Spin magnetization: 0.00 μB/f.u.

POSCAR file:
```
Ho3Tm2Ag2
1.0
4.5849 -2.6457 0.0000
4.5849 2.6457 0.0000
-3.0454 0.0000 7.6266
Ho Tm Ag
3 2 2
Direct
0.0000 0.0000 0.0000
0.1605 0.1605 0.4817
0.8395 0.8395 0.5183
0.4246 0.4246 0.2735
0.5754 0.5754 0.7265
0.2878 0.2878 0.8640
0.7122 0.7122 0.1360
```